No. 1
A relaxed Ba3Sr3TlAg2 crystal. Source: the Alexandria database, functional PBE.

Cell: 5.481 8.893 8.893 Å, 120.00 90.00 90.00°
Sites, in units of the cell vectors:
Ag 0.500 0.667 0.333
Ag 0.500 0.333 0.667
Tl 0.000 0.000 0.000
Ba 0.000 0.000 0.409
Ba 0.000 0.591 0.591
Ba 0.000 0.409 0.000
Sr 0.500 0.742 0.000
Sr 0.500 0.000 0.742
Sr 0.500 0.258 0.258

## Properties
- calculated formation energy (eV/atom) = -0.21
- electronic total energy (Ha/atom) = -0.08492


No. 2
A relaxed CeSmP crystal. Source: the Alexandria database, functional PBE.

Cell: 6.585 3.945 3.945 Å, 120.00 90.00 90.00°
Sites, in units of the cell vectors:
Ce 0.253 0.333 0.667
Sm 0.746 0.667 0.333
P 0.001 0.000 0.000

## Properties
- calculated formation energy (eV/atom) = -0.85
- electronic total energy (Ha/atom) = -0.22813


No. 3
A relaxed ScPdAu3 crystal. Source: the Alexandria database, functional PBE.

Cell: 4.631 3.033 13.474 Å, 96.46 90.00 90.00°
Sites, in units of the cell vectors:
Au 0.750 0.623 0.246
Au 0.750 0.523 0.047
Au 0.250 0.377 0.754
Au 0.250 0.683 0.366
Au 0.250 0.477 0.953
Au 0.750 0.317 0.634
Sc 0.750 0.210 0.421
Sc 0.250 0.790 0.579
Pd 0.750 0.924 0.848
Pd 0.250 0.076 0.152

## Properties
- E above lowest polymorph (eV per atom) = 0.271
- calculated formation energy (eV/atom) = -0.25
- electronic total energy (Ha/atom) = -0.16612


No. 4
A relaxed ZrTl2AuS4 crystal. Source: the Alexandria database, functional PBE.

Cell: 6.594 6.594 6.594 Å, 105.34 111.57 111.57°
Sites, in units of the cell vectors:
S 0.558 0.295 0.416
S 0.442 0.858 0.737
S 0.121 0.263 0.705
S 0.879 0.584 0.142
Zr 0.500 0.250 0.750
Tl 0.000 0.000 0.000
Tl 0.500 0.750 0.250
Au 0.000 0.500 0.500

## Properties
- electronic total energy (Ha/atom) = -0.17346